A relaxed Ce2UTc crystal, computed with PBE.

POSCAR file:
```
Ce2UTc
1.0
3.400 0.000 0.000
0.000 3.400 0.000
0.000 0.000 7.525
Ce U Tc
2 1 1
direct
0.000 0.000 0.270
0.000 0.000 0.730
0.500 0.500 0.000
0.500 0.500 0.500
```

## Properties
Electronic total energy = -8.240 eV/atom
Space-group type = P4/mmm, No. 123
Energy relative to the lowest polymorph listed for this composition = 0.000 eV per atom
Crystal system = tetragonal
V = 87 Å³/cell


A relaxed SnPtC2 crystal, computed with PBE.

POSCAR file:
```
SnPtC2
1.0
4.914 0.000 0.000
0.000 4.914 0.000
2.457 2.457 5.000
Sn C Pt
2 4 2
direct
0.250 0.750 0.500
0.500 0.500 0.000
0.375 0.344 0.750
0.094 0.625 0.250
0.656 0.125 0.250
0.875 0.906 0.750
0.000 0.000 0.000
0.750 0.250 0.500
```

## Properties
Electronic total energy = -6.023 eV/atom
Space-group type = I-42d, No. 122
Crystal system = tetragonal
V = 121 Å³/cell